No. 1
Material: HfZn2Te2
Method: DFT, PBE-GGA
State: relaxed Values from VASP.

```
&SYSTEM
  ibrav = 0, nat = 10, ntyp = 3
/
ATOMIC_SPECIES
Hf 178.49 Hf.upf
Zn 65.41 Zn.upf
Te 127.60 Te.upf
CELL_PARAMETERS angstrom
7.630 0.000 0.000
0.000 7.630 0.000
0.000 0.000 3.984
ATOMIC_POSITIONS crystal
Hf 0.000 0.000 0.000
Hf 0.500 0.500 0.000
Zn 0.148 0.352 0.500
Zn 0.352 0.852 0.500
Zn 0.648 0.148 0.500
Zn 0.852 0.648 0.500
Te 0.166 0.666 0.000
Te 0.334 0.166 0.000
Te 0.666 0.834 0.000
Te 0.834 0.334 0.000
```

Results
* density of states at the Fermi level: 2.51 states/eV/f.u.
* energy relative to the elements, uncorrected: 37 meV per atom
* total magnetization: 0.0 Bohr magnetons per cell
* symmetry: No. 127
* energy relative to the lowest polymorph listed for this composition: 1.14 eV/f.u.

No. 2
Material: Hf2ZrZnTe
Method: DFT, PBE-GGA
State: relaxed Values from VASP.

```
&SYSTEM
  ibrav = 0, nat = 5, ntyp = 4
/
ATOMIC_SPECIES
Hf 178.49 Hf.upf
Zr 91.22 Zr.upf
Zn 65.41 Zn.upf
Te 127.60 Te.upf
CELL_PARAMETERS angstrom
4.949 0.000 0.000
0.000 4.949 0.000
0.000 0.000 5.049
ATOMIC_POSITIONS crystal
Hf 0.000 0.500 0.000
Hf 0.500 0.000 0.000
Zr 0.000 0.000 0.500
Zn 0.500 0.500 0.000
Te 0.500 0.500 0.500
```

Results
* density of states at the Fermi level: 6.38 states/eV/f.u.
* energy relative to the elements, uncorrected: 746 meV per atom
* total magnetization: 0.0 Bohr magnetons per cell
* symmetry: No. 123
* energy relative to the lowest polymorph listed for this composition: 1.55 eV/f.u.

No. 3
Material: Hf2ZrZnTe
Method: DFT, PBE-GGA
State: relaxed Values from VASP.

```
&SYSTEM
  ibrav = 0, nat = 5, ntyp = 4
/
ATOMIC_SPECIES
Hf 178.49 Hf.upf
Zr 91.22 Zr.upf
Zn 65.41 Zn.upf
Te 127.60 Te.upf
CELL_PARAMETERS angstrom
4.928 0.000 0.000
0.000 4.928 0.000
0.000 0.000 5.010
ATOMIC_POSITIONS crystal
Hf 0.000 0.500 0.000
Hf 0.500 0.000 0.000
Zr 0.000 0.000 0.500
Zn 0.000 0.000 0.000
Te 0.500 0.500 0.500
```

Results
* density of states at the Fermi level: 6.27 states/eV/f.u.
* energy relative to the elements, uncorrected: 437 meV per atom
* total magnetization: 0.0 Bohr magnetons per cell
* symmetry: No. 123
* energy relative to the lowest polymorph listed for this composition: 0.00 eV/f.u.

No. 4
Material: HfZrTe2
Method: DFT, PBE-GGA
State: relaxed Values from VASP.

```
&SYSTEM
  ibrav = 0, nat = 8, ntyp = 3
/
ATOMIC_SPECIES
Hf 178.49 Hf.upf
Zr 91.22 Zr.upf
Te 127.60 Te.upf
CELL_PARAMETERS angstrom
-3.284 3.284 6.355
3.284 -3.284 6.355
3.284 3.284 -6.355
ATOMIC_POSITIONS crystal
Hf 0.000 0.000 0.000
Hf 0.750 0.250 0.500
Zr 0.250 0.750 0.500
Zr 0.500 0.500 0.000
Te 0.117 0.625 0.992
Te 0.375 0.367 0.492
Te 0.633 0.125 0.008
Te 0.875 0.883 0.508
```

Results
* density of states at the Fermi level: 5.87 states/eV/f.u.
* energy relative to the elements, uncorrected: 58 meV per atom
* total magnetization: 2.5 Bohr magnetons per cell
* symmetry: No. 122
* energy relative to the lowest polymorph listed for this composition: 2.82 eV/f.u.

| no. | V (Å³ per atom) |
| --- | --- |
| 1 | 23.19 |
| 2 | 24.74 |
| 3 | 24.33 |
| 4 | 34.26 |